[1]
NdBi2P2Pt7: relaxed, PBE-GGA.

Cell: 4.052 4.052 15.196 Å, 82.32 82.32 90.01°
Positions (direct):
Pt (0.424, 0.924, 0.152)
P (0.618, 0.618, 0.764)
Nd (0.000, 0.000, 0.000)
Pt (0.076, 0.576, 0.848)
Bi (0.789, 0.789, 0.421)
Pt (0.694, 0.694, 0.611)
Bi (0.211, 0.211, 0.579)
Pt (0.924, 0.424, 0.152)
P (0.382, 0.382, 0.236)
Pt (0.576, 0.076, 0.848)
Pt (0.500, 0.500, 0.000)
Pt (0.306, 0.306, 0.389)

Values from the calculation:
The total magnetization is 0.00 μB/f.u. The calculation puts the total energy at -72.81 eV per cell. The calculation puts the calculated formation energy at -0.598 eV/atom.

---

[2]
Li2Ac2Mg15: relaxed, PBE-GGA.

Cell: 7.910 7.910 7.910 Å, 83.07 83.07 83.07°
Positions (direct):
Mg (0.500, 0.000, 0.000)
Mg (0.652, 0.157, 0.652)
Mg (0.299, 0.701, 0.000)
Mg (0.000, 0.701, 0.299)
Mg (0.701, 0.000, 0.299)
Mg (0.348, 0.843, 0.348)
Mg (0.299, 0.000, 0.701)
Li (0.096, 0.096, 0.096)
Mg (0.157, 0.652, 0.652)
Ac (0.336, 0.336, 0.336)
Mg (0.701, 0.299, 0.000)
Mg (0.000, 0.500, 0.000)
Mg (0.000, 0.000, 0.500)
Mg (0.843, 0.348, 0.348)
Mg (0.348, 0.348, 0.843)
Mg (0.652, 0.652, 0.157)
Li (0.904, 0.904, 0.904)
Ac (0.664, 0.664, 0.664)
Mg (0.000, 0.299, 0.701)

Values from the calculation:
The total magnetization is 0.00 μB/f.u. The calculation puts the total energy at -37.32 eV per cell. The calculation puts the calculated formation energy at -0.071 eV/atom.

---

[3]
Np2NiIr3: relaxed, PBE-GGA.

Cell: 5.405 5.405 8.145 Å, 90.00 90.00 120.00°
Positions (direct):
Ir (0.833, 0.167, 0.750)
Np (0.333, 0.667, 0.569)
Ir (0.666, 0.833, 0.250)
Ir (0.833, 0.666, 0.750)
Ir (0.167, 0.833, 0.250)
Ir (0.167, 0.334, 0.250)
Ni (0.000, 0.000, 0.000)
Np (0.667, 0.333, 0.431)
Ir (0.334, 0.167, 0.750)
Np (0.667, 0.333, 0.069)
Np (0.333, 0.667, 0.931)
Ni (0.000, 0.000, 0.500)

Values from the calculation:
The total magnetization is 6.61 μB/f.u. The calculation puts the total energy at -120.94 eV per cell. The calculation puts the calculated formation energy at -0.371 eV/atom.

---

[4]
Sr2MgTcH6: relaxed, PBE-GGA.

Cell: 5.162 5.529 5.529 Å, 120.00 90.00 90.00°
Positions (direct):
Sr (0.812, 0.667, 0.333)
H (0.204, 0.308, 0.154)
H (0.796, 0.154, 0.846)
H (0.796, 0.692, 0.846)
H (0.796, 0.154, 0.308)
Mg (0.500, 0.000, 0.000)
Sr (0.188, 0.333, 0.667)
H (0.204, 0.846, 0.692)
H (0.204, 0.846, 0.154)
Tc (0.000, 0.000, 0.000)

Values from the calculation:
The total magnetization is 0.94 μB/f.u. The calculation puts the total energy at -38.99 eV per cell.

---

[5]
YThH4: relaxed, PBE-GGA.

Cell: 3.699 3.698 5.528 Å, 89.98 89.98 90.00°
Positions (direct):
Th (0.501, 0.497, 0.998)
Y (0.001, 0.997, 0.498)
H (0.001, 0.497, 0.735)
H (0.001, 0.497, 0.262)
H (0.501, 0.997, 0.262)
H (0.501, 0.997, 0.735)

Values from the calculation:
The total magnetization is 0.00 μB/f.u. The calculation puts the total energy at -30.99 eV per cell.

---

[6]
Ba2CuOs: relaxed, PBE-GGA.

Cell: 7.910 7.910 4.551 Å, 73.22 73.22 32.15°
Positions (direct):
Os (0.155, 0.155, 0.346)
Cu (0.588, 0.588, 0.412)
Ba (0.749, 0.749, 0.751)
Ba (0.009, 0.009, 0.992)

Values from the calculation:
The total magnetization is 0.00 μB/f.u. The excess energy over the best structure of this formula in the dataset comes out at 0.30 eV/f.u. The calculation puts the total energy at -17.27 eV per cell. The calculation puts the calculated formation energy at 0.475 eV/atom.